Compound: Sc4CdGa2
Source: Alexandria via LeMat-Bulk
Functional: GGA-PBE
Structure: relaxed

```
Sc4CdGa2
1.0
2.384 1.377 7.662
-2.384 1.377 7.662
0.000 -2.753 7.662
Sc Cd Ga
4 1 2
direct
0.114 0.114 0.114 Sc
0.369 0.369 0.369 Sc
0.631 0.631 0.631 Sc
0.886 0.886 0.886 Sc
0.500 0.500 0.500 Cd
0.248 0.248 0.248 Ga
0.752 0.752 0.752 Ga
```

Values from the calculation:
Total moment, Bohr magnetons per cell: 0.00
Energy relative to the lowest polymorph listed for this composition, meV per atom: 0
Formation energy, meV per atom: -374
Symmetry: No. 166